# KHgI | Alexandria via LeMat-Bulk | PBE | optimized geometry
data_KHgI
_chemical_formula_sum 'K1 Hg1 I1'
_space_group_name_H-M_alt 'P 1'
_space_group_IT_number 1
_cell_length_a 4.862
_cell_length_b 8.139
_cell_length_c 4.863
_cell_angle_alpha 90.00
_cell_angle_beta 90.00
_cell_angle_gamma 90.00
loop_
_space_group_symop_operation_xyz
'x,y,z'
loop_
_atom_site_label
_atom_site_type_symbol
_atom_site_fract_x
_atom_site_fract_y
_atom_site_fract_z
K1 K 0.000 0.000 0.000
Hg1 Hg 0.492 0.500 0.518
I1 I 0.500 0.000 0.500
# - Formation energy from raw total energies: -0.86 eV per atom
# - Crystal system: monoclinic
# - Relative energy among the computed polymorphs: 0.22 eV per formula unit
# - V: 192.43 Å³ per cell
# - Final energy: -1.84 eV/atom


# K2HgI | Alexandria via LeMat-Bulk | PBE | optimized geometry
data_K2HgI
_chemical_formula_sum 'K2 Hg1 I1'
_space_group_name_H-M_alt 'P 1'
_space_group_IT_number 1
_cell_length_a 4.882
_cell_length_b 4.882
_cell_length_c 9.319
_cell_angle_alpha 105.29
_cell_angle_beta 105.29
_cell_angle_gamma 59.94
loop_
_space_group_symop_operation_xyz
'x,y,z'
loop_
_atom_site_label
_atom_site_type_symbol
_atom_site_fract_x
_atom_site_fract_y
_atom_site_fract_z
K1 K 0.000 0.000 0.000
K2 K 0.172 0.172 0.515
Hg1 Hg 0.419 0.419 0.258
I1 I 0.585 0.585 0.756
# - Formation energy from raw total energies: -0.75 eV per atom
# - Crystal system: monoclinic
# - Relative energy among the computed polymorphs: 0.15 eV per formula unit
# - V: 183.11 Å³ per cell
# - Final energy: -1.76 eV/atom


Number 1: total magnetization 0.00 μB per formula unit. Number 2: total magnetization 0.00 μB per formula unit.